The following is a GGA-PBE calculation of a relaxed structure of Tl2PbBr, from Alexandria.

The total energy is -2.740 eV per atom. The offset from the most stable computed form comes out at 63 meV/atom. The calculation puts the density of states at the Fermi level at 1.8 states/eV/f.u.

It has space group Pmmm (No. 47), with a = 3.6088 Å, b = 5.8273 Å, c = 5.9543 Å, α = 90.00°, β = 90.00° and γ = 90.00°. The asymmetric unit holds Tl at (0.0000, 0.0000, 0.0000), Tl at (0.5000, 0.0000, 0.5000), Pb at (0.0000, 0.5000, 0.5000) and Br at (0.5000, 0.5000, 0.0000).